This record from Alexandria describes a relaxed structure of Pr3SiS2. The functional is PBE.

Results
Crystal system: orthorhombic
ΔE_f (raw), eV per atom: -1.617

```
data_Pr3SiS2
_chemical_formula_sum 'Pr6 Si2 S4'
_cell_length_a 4.205
_cell_length_b 5.907
_cell_length_c 12.537
_cell_angle_alpha 90.00
_cell_angle_beta 90.00
_cell_angle_gamma 90.00
_space_group_name_H-M_alt 'I m m m'
_space_group_IT_number 71
_space_group_name_Hall '-I 2 2'
loop_
_atom_site_label
_atom_site_fract_x
_atom_site_fract_y
_atom_site_fract_z
_atom_site_occupancy
Pr1 0.000 0.000 0.000 1
Pr2 0.000 0.000 0.333 1
Si1 0.000 0.500 0.000 1
S1 0.000 0.500 0.334 1
```